{"formula": "ScNiIr2", "functional": "PBE-GGA", "state": "optimized geometry", "lattice_angstrom": [[0.000, 3.094, 3.094], [3.094, 0.000, 3.094], [3.094, 3.094, 0.000]], "species": ["Sc", "Ni", "Ir", "Ir"], "fractional_positions": [[0.000, 0.000, 0.000], [0.500, 0.500, 0.500], [0.250, 0.250, 0.250], [0.750, 0.750, 0.750]], "e_form_ev_per_atom": -0.29, "n_ef_per_ev_cell": 5.8, "crystal_system": "cubic"}